Entry 1:
The following is a DFT calculation (PBE-GGA) of a relaxed structure of Ba2MgPt.

Lattice parameters (Å, degrees): 3.8180 3.8180 9.5412 90.00 90.00 90.00
With the nearest neighbours (Å) after each atom.
Sites, in units of the cell vectors:
1 Ba 0.0000 0.0000 0.0000  1 Mg 3.12, 4 Pt 3.47
2 Ba 0.5000 0.5000 0.4189  1 Pt 3.37, 4 Mg 3.63
3 Mg 0.0000 0.0000 0.6733  4 Pt 2.86, 1 Ba 3.12
4 Pt 0.5000 0.5000 0.7719  4 Mg 2.86

Values from the calculation:
**SG**: No. 99
**Crystal system**: tetragonal
**ΔE_f**: -1.29 eV per formula unit



Entry 2:
The following is a DFT calculation (PBE-GGA) of a relaxed structure of BaMg4Pt.

Lattice parameters (Å, degrees): 5.0695 5.0695 7.8730 90.00 90.00 90.00
With the nearest neighbours (Å) after each atom.
Sites, in units of the cell vectors:
1 Ba 0.0000 0.0000 0.0000  8 Mg 3.87
2 Mg 0.0000 0.5000 0.5000  2 Pt 2.53
3 Mg 0.5000 0.0000 0.5000  2 Pt 2.53
4 Mg 0.5000 0.5000 0.1843  1 Pt 2.49
5 Mg 0.5000 0.5000 0.8157  1 Pt 2.49
6 Pt 0.5000 0.5000 0.5000  6 Mg 2.49-2.53

Values from the calculation:
**SG**: No. 123
**E above lowest polymorph**: 0 meV/atom
**Crystal system**: tetragonal
**ΔE_f**: -1.44 eV per formula unit



Entry 3:
The following is a DFT calculation (PBE-GGA) of a relaxed structure of BaMgPt.

Lattice parameters (Å, degrees): 5.2830 5.2830 5.2830 60.00 60.00 60.00
With the nearest neighbours (Å) after each atom.
Sites, in units of the cell vectors:
1 Ba 0.0000 0.0000 0.0000  4 Mg 3.24, 4 Pt 3.24
2 Mg 0.7500 0.7500 0.7500  4 Ba 3.24
3 Pt 0.2500 0.2500 0.2500  4 Ba 3.24

Values from the calculation:
**SG**: No. 216
**Crystal system**: cubic
**ΔE_f**: 0.57 eV per formula unit



Entry 4:
The following is a DFT calculation (PBE-GGA) of a relaxed structure of BaMg3Pt.

Lattice parameters (Å, degrees): 6.1118 6.4418 7.4322 90.00 113.84 90.00
With the nearest neighbours (Å) after each atom.
Sites, in units of the cell vectors:
1 Ba 0.0594 0.2500 0.3634  4 Pt 3.21-3.60, 4 Mg 3.51-3.60
2 Ba 0.9406 0.7500 0.6366  4 Pt 3.21-3.60, 4 Mg 3.51-3.60
3 Mg 0.0488 0.2500 0.8724  1 Pt 2.68
4 Mg 0.4597 0.5072 0.2098  2 Pt 2.75-2.78
5 Mg 0.4597 0.9928 0.2098  2 Pt 2.75-2.78
6 Mg 0.5403 0.0072 0.7902  2 Pt 2.75-2.78
7 Mg 0.5403 0.4928 0.7902  2 Pt 2.75-2.78
8 Mg 0.9512 0.7500 0.1276  1 Pt 2.68
9 Pt 0.3451 0.7500 0.4636  5 Mg 2.68-2.78
10 Pt 0.6549 0.2500 0.5364  5 Mg 2.68-2.78

Values from the calculation:
**SG**: No. 11
**E above lowest polymorph**: 48 meV/atom
**Crystal system**: monoclinic
**ΔE_f**: -1.98 eV per formula unit



Entry 5:
The following is a DFT calculation (PBE-GGA) of a relaxed structure of Ba2MgPt.

Lattice parameters (Å, degrees): 5.4933 5.4933 5.4933 60.00 60.00 60.00
With the nearest neighbours (Å) after each atom.
Sites, in units of the cell vectors:
1 Ba 0.0000 0.0000 0.0000  4 Mg 3.36, 4 Ba 3.36
2 Ba 0.2500 0.2500 0.2500  4 Ba 3.36, 4 Pt 3.36
3 Mg 0.7500 0.7500 0.7500  4 Ba 3.36, 4 Pt 3.36
4 Pt 0.5000 0.5000 0.5000  4 Ba 3.36, 4 Mg 3.36

Values from the calculation:
**SG**: No. 216
**Crystal system**: cubic
**ΔE_f**: -0.60 eV per formula unit



Entry 6:
The following is a DFT calculation (PBE-GGA) of a relaxed structure of Ba3Mg7Pt4.

Lattice parameters (Å, degrees): 8.9804 8.9804 10.9646 124.52 124.52 29.00
With the nearest neighbours (Å) after each atom.
Sites, in units of the cell vectors:
1 Ba 0.0000 0.0000 0.0000  6 Pt 3.45-3.51, 10 Mg 3.79-3.85
2 Ba 0.3052 0.3052 0.2940  4 Pt 3.27-3.32, 9 Mg 3.38-3.62
3 Ba 0.6948 0.6948 0.7060  4 Pt 3.27-3.32, 9 Mg 3.38-3.62
4 Mg 0.0000 0.0000 0.5000  2 Pt 2.83
5 Mg 0.1696 0.1696 0.4261  3 Pt 2.73-2.81
6 Mg 0.3161 0.3161 0.9880  4 Pt 2.83-3.16, 1 Mg 3.02
7 Mg 0.4905 0.4905 0.7136  3 Pt 2.72-2.79, 1 Mg 3.02
8 Mg 0.5095 0.5095 0.2864  3 Pt 2.72-2.79, 1 Mg 3.02
9 Mg 0.6839 0.6839 0.0120  4 Pt 2.83-3.16, 1 Mg 3.02
10 Mg 0.8304 0.8304 0.5739  3 Pt 2.73-2.81
11 Pt 0.1081 0.1081 0.8183  6 Mg 2.79-2.94
12 Pt 0.3369 0.3369 0.7205  4 Mg 2.72-2.81
13 Pt 0.6631 0.6631 0.2795  4 Mg 2.72-2.81
14 Pt 0.8919 0.8919 0.1817  6 Mg 2.79-2.94

Values from the calculation:
**SG**: No. 12
**Crystal system**: monoclinic
**ΔE_f**: -8.23 eV per formula unit



Entry 7:
The following is a DFT calculation (PBE-GGA) of a relaxed structure of Ba2Mg3Pt2.

Lattice parameters (Å, degrees): 6.3152 6.3152 8.1954 115.52 115.52 40.74
With the nearest neighbours (Å) after each atom.
Sites, in units of the cell vectors:
1 Ba 0.1377 0.1377 0.2750  4 Pt 3.33-3.61, 5 Mg 3.55-3.69
2 Ba 0.8623 0.8623 0.7250  4 Pt 3.33-3.61, 5 Mg 3.55-3.69
3 Mg 0.3462 0.3462 0.0729  3 Pt 2.75-2.81, 2 Mg 2.99
4 Mg 0.5000 0.5000 0.5000  4 Pt 2.84, 2 Mg 3.12
5 Mg 0.6538 0.6538 0.9271  3 Pt 2.75-2.81, 2 Mg 2.99
6 Pt 0.1406 0.1406 0.7170  5 Mg 2.75-2.84
7 Pt 0.8594 0.8594 0.2830  5 Mg 2.75-2.84

Values from the calculation:
**SG**: No. 12
**Crystal system**: monoclinic
**ΔE_f**: -4.24 eV per formula unit



Entry 8:
The following is a DFT calculation (PBE-GGA) of a relaxed structure of Ba2MgPt.

Lattice parameters (Å, degrees): 4.5338 4.5338 9.7129 103.40 103.40 59.99
With the nearest neighbours (Å) after each atom.
Sites, in units of the cell vectors:
1 Ba 0.2289 0.2289 0.1877  3 Pt 3.15
2 Ba 0.7711 0.7711 0.8123  3 Pt 3.15
3 Mg 0.0000 0.0000 0.5000  6 Ba 3.92-3.93
4 Pt 0.5000 0.5000 0.0000  6 Ba 3.15

Values from the calculation:
**SG**: No. 12
**Crystal system**: monoclinic
**ΔE_f**: -1.36 eV per formula unit



Entry 9:
The following is a DFT calculation (PBE-GGA) of a relaxed structure of Ba2MgPt.

Lattice parameters (Å, degrees): 8.8970 8.8970 8.8970 30.46 30.46 30.46
With the nearest neighbours (Å) after each atom.
Sites, in units of the cell vectors:
1 Ba 0.0000 0.0000 0.0000  3 Pt 3.48, 3 Mg 3.49
2 Ba 0.1733 0.1733 0.1733  3 Mg 3.48, 3 Pt 3.49
3 Mg 0.7534 0.7534 0.7534  3 Pt 2.70
4 Pt 0.4194 0.4194 0.4194  3 Mg 2.70

Values from the calculation:
**SG**: No. 160
**Crystal system**: trigonal
**ΔE_f**: -2.03 eV per formula unit



Entry 10:
The following is a DFT calculation (PBE-GGA) of a relaxed structure of BaMgPt.

Lattice parameters (Å, degrees): 4.6231 4.6231 4.7141 90.00 90.00 120.00
With the nearest neighbours (Å) after each atom.
Sites, in units of the cell vectors:
1 Ba 0.0000 0.0000 0.0000  6 Pt 3.56, 6 Mg 3.56
2 Mg 0.6667 0.3333 0.5000  3 Pt 2.67
3 Pt 0.3333 0.6667 0.5000  3 Mg 2.67

Values from the calculation:
**SG**: No. 187
**Crystal system**: hexagonal
**ΔE_f**: -1.85 eV per formula unit



Entry 11:
The following is a DFT calculation (PBE-GGA) of a relaxed structure of Ba2MgPt.

Lattice parameters (Å, degrees): 4.7124 6.9048 6.9048 41.02 90.00 90.00
With the nearest neighbours (Å) after each atom.
Sites, in units of the cell vectors:
1 Ba 0.0000 0.0000 0.0000  2 Mg 3.46, 4 Pt 3.59
2 Ba 0.5000 0.2759 0.2759  2 Pt 3.38, 4 Mg 3.55
3 Mg 0.0000 0.6913 0.6913  2 Pt 2.68
4 Pt 0.5000 0.5932 0.5932  2 Mg 2.68

Values from the calculation:
**SG**: No. 38
**Crystal system**: orthorhombic
**ΔE_f**: -1.74 eV per formula unit



Entry 12:
The following is a DFT calculation (PBE-GGA) of a relaxed structure of BaMg3Pt.

Lattice parameters (Å, degrees): 8.2541 7.5082 9.4052 90.00 102.40 90.00
With the nearest neighbours (Å) after each atom.
Sites, in units of the cell vectors:
1 Ba 0.1794 0.0803 0.2125  2 Pt 3.36-3.55, 4 Mg 3.48-3.68
2 Ba 0.1794 0.4197 0.7125  2 Pt 3.36-3.55, 4 Mg 3.48-3.68
3 Ba 0.8206 0.5803 0.2875  2 Pt 3.36-3.55, 4 Mg 3.48-3.68
4 Ba 0.8206 0.9197 0.7875  2 Pt 3.36-3.55, 4 Mg 3.48-3.68
5 Mg 0.1401 0.6353 0.0543  1 Pt 2.63
6 Mg 0.1401 0.8647 0.5543  1 Pt 2.63
7 Mg 0.3562 0.5523 0.3727  3 Pt 2.78-2.98, 3 Mg 2.97-3.09
8 Mg 0.3562 0.9477 0.8727  3 Pt 2.78-2.98, 3 Mg 2.97-3.09
9 Mg 0.4455 0.1149 0.6027  3 Pt 2.69-2.73, 2 Mg 2.87-2.97
10 Mg 0.4455 0.3851 0.1027  3 Pt 2.69-2.73, 2 Mg 2.87-2.97
11 Mg 0.5545 0.6149 0.8973  3 Pt 2.69-2.73, 2 Mg 2.87-2.97
12 Mg 0.5545 0.8851 0.3973  3 Pt 2.69-2.73, 2 Mg 2.87-2.97
13 Mg 0.6438 0.0523 0.1273  3 Pt 2.78-2.98, 3 Mg 2.97-3.09
14 Mg 0.6438 0.4477 0.6273  3 Pt 2.78-2.98, 3 Mg 2.97-3.09
15 Mg 0.8599 0.1353 0.4457  1 Pt 2.63
16 Mg 0.8599 0.3647 0.9457  1 Pt 2.63
17 Pt 0.4486 0.7478 0.1267  6 Mg 2.63-2.80
18 Pt 0.4486 0.7522 0.6267  6 Mg 2.63-2.80
19 Pt 0.5514 0.2478 0.3733  6 Mg 2.63-2.80
20 Pt 0.5514 0.2522 0.8733  6 Mg 2.63-2.80

Values from the calculation:
**SG**: No. 14
**E above lowest polymorph**: 13 meV/atom
**Crystal system**: monoclinic
**ΔE_f**: -2.15 eV per formula unit



Entry 13:
The following is a DFT calculation (PBE-GGA) of a relaxed structure of Ba2MgPt.

Lattice parameters (Å, degrees): 8.7036 8.7036 8.7036 95.10 95.10 145.32
With the nearest neighbours (Å) after each atom.
Sites, in units of the cell vectors:
1 Ba 0.3750 0.0454 0.1704  2 Pt 3.15
2 Ba 0.7954 0.6250 0.6704  2 Pt 3.15
3 Ba 0.8750 0.2046 0.8296  2 Pt 3.15
4 Ba 0.9546 0.1250 0.3296  2 Pt 3.15
5 Mg 0.2500 0.7500 0.5000  2 Pt 2.59
6 Mg 0.5000 0.5000 0.0000  2 Pt 2.59
7 Pt 0.0000 0.0000 0.0000  2 Mg 2.59
8 Pt 0.7500 0.2500 0.5000  2 Mg 2.59

Values from the calculation:
**SG**: No. 122
**Crystal system**: tetragonal
**ΔE_f**: -1.65 eV per formula unit



Entry 14:
The following is a DFT calculation (PBE-GGA) of a relaxed structure of BaMg4Pt.

Lattice parameters (Å, degrees): 5.8864 5.8864 5.8864 60.00 60.00 60.00
With the nearest neighbours (Å) after each atom.
Sites, in units of the cell vectors:
1 Ba 0.0000 0.0000 0.0000  12 Mg 3.46, 4 Pt 3.60
2 Mg 0.1311 0.6230 0.6230  6 Mg 2.90-2.99
3 Mg 0.6230 0.1311 0.6230  6 Mg 2.90-2.99
4 Mg 0.6230 0.6230 0.1311  6 Mg 2.90-2.99
5 Mg 0.6230 0.6230 0.6230  6 Mg 2.90-2.99
6 Pt 0.2500 0.2500 0.2500  12 Mg 3.45, 4 Ba 3.60

Values from the calculation:
**SG**: No. 216
**E above lowest polymorph**: 199 meV/atom
**Crystal system**: cubic
**ΔE_f**: -0.25 eV per formula unit



Entry 15:
The following is a DFT calculation (PBE-GGA) of a relaxed structure of Ba2MgPt.

Lattice parameters (Å, degrees): 4.5993 4.5993 9.0956 90.04 90.04 60.01
With the nearest neighbours (Å) after each atom.
Sites, in units of the cell vectors:
1 Ba 0.0000 0.0000 0.0000  3 Pt 3.25, 3 Mg 3.61
2 Ba 0.6677 0.6677 0.5513  1 Pt 3.15
3 Mg 0.3334 0.3334 0.2685  3 Pt 2.72
4 Pt 0.6668 0.6668 0.2051  3 Mg 2.72

Values from the calculation:
**SG**: No. 8
**Crystal system**: monoclinic
**ΔE_f**: -1.87 eV per formula unit



Entry 16:
The following is a DFT calculation (PBE-GGA) of a relaxed structure of Ba2MgPt.

Lattice parameters (Å, degrees): 5.5901 5.5901 4.2379 90.00 90.00 90.00
With the nearest neighbours (Å) after each atom.
Sites, in units of the cell vectors:
1 Ba 0.0000 0.5000 0.0000  4 Mg 3.51, 4 Pt 3.51
2 Ba 0.5000 0.0000 0.0000  4 Mg 3.51, 4 Pt 3.51
3 Mg 0.0000 0.0000 0.5000  8 Ba 3.51
4 Pt 0.5000 0.5000 0.5000  8 Ba 3.51

Values from the calculation:
**SG**: No. 123
**Crystal system**: tetragonal
**ΔE_f**: -1.06 eV per formula unit



Entry 17:
The following is a DFT calculation (PBE-GGA) of a relaxed structure of RbBaMg2Pt.

Lattice parameters (Å, degrees): 5.3896 5.3896 6.0231 90.00 90.00 90.00
With the nearest neighbours (Å) after each atom.
Sites, in units of the cell vectors:
1 Rb 0.0000 0.0000 0.0000  4 Ba 3.81, 8 Mg 4.04
2 Ba 0.5000 0.5000 0.0000  2 Pt 3.01
3 Mg 0.0000 0.5000 0.5000  2 Pt 2.69
4 Mg 0.5000 0.0000 0.5000  2 Pt 2.69
5 Pt 0.5000 0.5000 0.5000  4 Mg 2.69, 2 Ba 3.01

Values from the calculation:
**SG**: No. 123
**Crystal system**: tetragonal
**ΔE_f**: -1.36 eV per formula unit



Entry 18:
The following is a DFT calculation (PBE-GGA) of a relaxed structure of RbBa2MgPt.

Lattice parameters (Å, degrees): 6.3325 6.3325 5.4392 90.00 90.00 90.00
With the nearest neighbours (Å) after each atom.
Sites, in units of the cell vectors:
1 Rb 0.0000 0.0000 0.0000  8 Ba 4.17, 4 Mg 4.48
2 Ba 0.0000 0.5000 0.5000  2 Pt 3.17
3 Ba 0.5000 0.0000 0.5000  2 Pt 3.17
4 Mg 0.5000 0.5000 0.0000  2 Pt 2.72
5 Pt 0.5000 0.5000 0.5000  2 Mg 2.72

Values from the calculation:
**SG**: No. 123
**Crystal system**: tetragonal
**ΔE_f**: -1.48 eV per formula unit



Entry 19:
The following is a DFT calculation (PBE-GGA) of a relaxed structure of BaMgSbPt2.

Lattice parameters (Å, degrees): 4.8672 4.8672 5.8292 90.00 90.00 90.00
With the nearest neighbours (Å) after each atom.
Sites, in units of the cell vectors:
1 Ba 0.0000 0.0000 0.0000  2 Mg 2.91
2 Mg 0.0000 0.0000 0.5000  4 Pt 2.43
3 Sb 0.5000 0.5000 0.0000  4 Ba 3.44, 8 Pt 3.80
4 Pt 0.0000 0.5000 0.5000  2 Mg 2.43
5 Pt 0.5000 0.0000 0.5000  2 Mg 2.43

Values from the calculation:
**Energy**: -18.2 eV for the cell shown
**SG**: No. 123
**Crystal system**: tetragonal



Entry 20:
The following is a DFT calculation (PBE-GGA) of a relaxed structure of Ba2MgSb4Pt3.

Lattice parameters (Å, degrees): 4.7785 4.7785 11.2181 90.00 90.00 90.00
With the nearest neighbours (Å) after each atom.
Sites, in units of the cell vectors:
1 Ba 0.0000 0.5000 0.2454  8 Sb 3.62-3.65, 6 Pt 3.67-3.72, 2 Mg 3.72
2 Ba 0.5000 0.0000 0.7546  8 Sb 3.62-3.65, 6 Pt 3.67-3.72, 2 Mg 3.72
3 Mg 0.0000 0.0000 0.5000  4 Sb 2.86
4 Sb 0.0000 0.0000 0.0000  4 Pt 2.73
5 Sb 0.0000 0.5000 0.6394  3 Pt 2.72-2.86, 2 Mg 2.86
6 Sb 0.5000 0.0000 0.3606  3 Pt 2.72-2.86, 2 Mg 2.86
7 Sb 0.5000 0.5000 0.0000  4 Pt 2.73
8 Pt 0.0000 0.5000 0.8823  5 Sb 2.72-2.73
9 Pt 0.5000 0.0000 0.1177  5 Sb 2.72-2.73
10 Pt 0.5000 0.5000 0.5000  4 Sb 2.86

Values from the calculation:
**Energy**: -48.1 eV for the cell shown
**SG**: No. 115
**Crystal system**: tetragonal